Record 1
Sr2Ru3 after structural relaxation, computed with GGA-PBE.

```
Sr2Ru3
1.0
9.267 -1.997 -0.011
9.267 1.997 -0.011
8.841 0.000 3.421
Sr Ru
2 3
direct
0.409 0.409 0.409
0.591 0.591 0.591
0.000 0.000 0.000
0.843 0.843 0.843
0.157 0.157 0.157
```

Properties
Density of states at the Fermi level = 1.60 states/eV per atom
SG = R-3m (166)
ΔE_f = 66.6 kJ per mole of atoms
VASP energy = -5.548 eV per atom


Record 2
Sr4Ru5 after structural relaxation, computed with GGA-PBE.

```
Sr4Ru5
1.0
8.741 0.000 0.000
-4.371 7.570 0.000
0.000 0.000 6.061
Ru Sr
10 8
direct
0.000 0.662 0.250
0.338 0.338 0.250
0.662 0.000 0.250
0.000 0.338 0.750
0.662 0.662 0.750
0.338 0.000 0.750
0.667 0.333 0.000
0.333 0.667 0.500
0.333 0.667 0.000
0.667 0.333 0.500
0.000 0.000 0.000
0.000 0.000 0.500
0.000 0.353 0.250
0.647 0.647 0.250
0.353 0.000 0.250
0.000 0.647 0.750
0.353 0.353 0.750
0.647 0.000 0.750
```

Properties
Density of states at the Fermi level = 1.40 states/eV per atom
SG = P6_3/mcm (193)
ΔE_f = 100.3 kJ per mole of atoms
VASP energy = -4.861 eV per atom


Record 3
SrRu2 after structural relaxation, computed with GGA-PBE.

```
SrRu2
1.0
2.880 0.000 0.000
0.000 5.272 0.000
0.000 0.000 7.896
Sr Ru
2 4
direct
0.000 0.000 0.000
0.500 0.500 0.500
0.768 0.000 0.367
0.232 0.000 0.633
0.268 0.500 0.133
0.732 0.500 0.867
```

Properties
Density of states at the Fermi level = 1.30 states/eV per atom
SG = Pnnm (58)
ΔE_f = 91.9 kJ per mole of atoms
VASP energy = -5.792 eV per atom


Record 4
Sr2TaRu after structural relaxation, computed with GGA-PBE.

```
Sr2TaRu
1.0
6.156 -0.002 0.000
3.399 5.133 0.000
-4.777 -2.565 2.914
Ru Sr Ta
1 2 1
direct
0.750 0.250 0.500
0.000 0.000 0.000
0.500 0.500 0.000
0.250 0.750 0.500
```

Properties
Density of states at the Fermi level = 0.66 states/eV per atom
Excess energy over the best structure of this formula in the dataset = 698 meV/atom
SG = I4/mmm (139)
ΔE_f = 89.0 kJ per mole of atoms
VASP energy = -5.200 eV per atom


Record 5
SrTa2Ru after structural relaxation, computed with GGA-PBE.

```
SrTa2Ru
1.0
3.242 0.000 0.000
0.000 4.815 0.000
0.000 0.000 5.038
Ru Sr Ta
1 1 2
direct
0.500 0.000 0.500
0.000 0.500 0.500
0.000 0.000 0.000
0.500 0.500 0.000
```

Properties
Density of states at the Fermi level = 1.20 states/eV per atom
Excess energy over the best structure of this formula in the dataset = 515 meV/atom
SG = Pmmm (47)
ΔE_f = 75.9 kJ per mole of atoms
VASP energy = -7.879 eV per atom


Record 6
SrTa2Ru after structural relaxation, computed with GGA-PBE.

```
SrTa2Ru
1.0
3.179 0.000 0.000
0.000 3.179 0.000
0.000 0.000 8.564
Ru Sr Ta
1 1 2
direct
0.000 0.000 0.440
0.500 0.500 0.716
0.000 0.000 0.064
0.500 0.500 0.280
```

Properties
Density of states at the Fermi level = 1.24 states/eV per atom
Excess energy over the best structure of this formula in the dataset = 0 meV/atom
SG = P4mm (99)
ΔE_f = 26.2 kJ per mole of atoms
VASP energy = -8.394 eV per atom


Record 7
SrTa2Ru after structural relaxation, computed with GGA-PBE.

```
SrTa2Ru
1.0
4.918 0.000 0.000
0.000 4.918 0.000
0.000 0.000 3.156
Ru Sr Ta
1 1 2
direct
0.500 0.000 0.500
0.000 0.500 0.500
0.000 0.000 0.000
0.500 0.500 0.000
```

Properties
Density of states at the Fermi level = 1.06 states/eV per atom
Excess energy over the best structure of this formula in the dataset = 706 meV/atom
SG = P4/mmm (123)
ΔE_f = 94.3 kJ per mole of atoms
VASP energy = -7.688 eV per atom


Record 8
SrTa2Ru after structural relaxation, computed with GGA-PBE.

```
SrTa2Ru
1.0
-0.918 0.945 3.909
-1.001 -2.930 0.473
5.853 -3.998 2.341
Ru Sr Ta
1 1 2
direct
0.000 0.548 0.415
0.500 0.714 0.733
0.000 0.948 0.083
0.500 0.290 0.268
```

Properties
Density of states at the Fermi level = 0.76 states/eV per atom
Excess energy over the best structure of this formula in the dataset = 123 meV/atom
SG = Pm (6)
ΔE_f = 38.1 kJ per mole of atoms
VASP energy = -8.271 eV per atom


Record 9
Sr3TaRu after structural relaxation, computed with GGA-PBE.

```
Sr3TaRu
1.0
5.627 0.000 0.000
0.000 5.627 0.000
0.000 0.000 5.627
Ru Sr Ta
1 3 1
direct
0.000 0.000 0.000
0.000 0.500 0.000
0.000 0.000 0.500
0.500 0.000 0.000
0.500 0.500 0.500
```

Properties
Density of states at the Fermi level = 0.57 states/eV per atom
SG = Pm-3m (221)
ΔE_f = 114.1 kJ per mole of atoms
VASP energy = -4.052 eV per atom


Record 10
SrTa2Ru after structural relaxation, computed with GGA-PBE.

```
SrTa2Ru
1.0
-6.860 -3.155 6.159
-6.057 -5.926 4.811
-4.370 -4.802 7.266
Ru Sr Ta
1 1 2
direct
0.513 0.513 0.513
0.756 0.756 0.756
0.987 0.987 0.987
0.243 0.243 0.243
```

Properties
Density of states at the Fermi level = 0.77 states/eV per atom
Excess energy over the best structure of this formula in the dataset = 248 meV/atom
SG = R3m (160)
ΔE_f = 50.1 kJ per mole of atoms
VASP energy = -8.147 eV per atom


Record 11
Sr2TaRu after structural relaxation, computed with GGA-PBE.

```
Sr2TaRu
1.0
-2.236 6.142 -0.387
-1.782 -3.609 -4.405
-2.999 0.571 0.750
Ru Sr Ta
1 2 1
direct
0.500 0.500 0.000
0.000 0.000 0.000
0.500 0.000 0.500
0.000 0.500 0.500
```

Properties
Density of states at the Fermi level = 1.07 states/eV per atom
Excess energy over the best structure of this formula in the dataset = 784 meV/atom
SG = C2/m (12)
ΔE_f = 97.4 kJ per mole of atoms
VASP energy = -5.114 eV per atom


Record 12
SrTa2Ru after structural relaxation, computed with GGA-PBE.

```
SrTa2Ru
1.0
4.812 0.000 0.000
2.406 4.167 0.000
2.406 1.389 3.929
Ru Sr Ta
1 1 2
direct
0.500 0.500 0.500
0.750 0.750 0.750
0.000 0.000 0.000
0.250 0.250 0.250
```

Properties
Density of states at the Fermi level = 1.03 states/eV per atom
Excess energy over the best structure of this formula in the dataset = 538 meV/atom
SG = F-43m (216)
ΔE_f = 78.1 kJ per mole of atoms
VASP energy = -7.856 eV per atom


Record 13
SrTa2Ru after structural relaxation, computed with GGA-PBE.

```
SrTa2Ru
1.0
5.727 0.005 0.000
4.877 3.002 0.000
1.666 0.472 5.132
Ru Sr Ta
1 1 2
direct
0.750 0.750 0.750
0.250 0.250 0.250
0.049 0.049 0.911
0.451 0.451 0.589
```

Properties
Density of states at the Fermi level = 0.71 states/eV per atom
Excess energy over the best structure of this formula in the dataset = 177 meV/atom
SG = C2/m (12)
ΔE_f = 43.3 kJ per mole of atoms
VASP energy = -8.217 eV per atom


Record 14
SrTaRu4 after structural relaxation, computed with GGA-PBE.

```
SrTaRu4
1.0
0.000 3.728 3.728
3.728 0.000 3.728
3.728 3.728 0.000
Sr Ta Ru
1 1 4
direct
0.750 0.750 0.750
0.000 0.000 0.000
0.877 0.374 0.374
0.374 0.374 0.877
0.374 0.877 0.374
0.374 0.374 0.374
```

Properties
Density of states at the Fermi level = 0.92 states/eV per atom
SG = F-43m (216)
ΔE_f = 30.2 kJ per mole of atoms
VASP energy = -8.127 eV per atom


Record 15
SrTa2Ru after structural relaxation, computed with GGA-PBE.

```
SrTa2Ru
1.0
10.173 -0.031 -0.018
9.715 3.019 -0.018
9.715 1.459 2.642
Ru Sr Ta
1 1 2
direct
0.250 0.250 0.250
0.750 0.750 0.750
0.984 0.984 0.984
0.516 0.516 0.516
```

Properties
Density of states at the Fermi level = 1.31 states/eV per atom
Excess energy over the best structure of this formula in the dataset = 367 meV/atom
SG = R-3m (166)
ΔE_f = 61.6 kJ per mole of atoms
VASP energy = -8.027 eV per atom


Record 16
Sr2TaRu after structural relaxation, computed with GGA-PBE.

```
Sr2TaRu
1.0
-1.261 -4.717 2.388
0.700 -1.980 -3.541
3.943 -0.514 1.066
Ru Sr Ta
1 2 1
direct
0.500 0.000 0.500
0.000 0.000 0.000
0.000 0.500 0.500
0.500 0.500 0.000
```

Properties
Density of states at the Fermi level = 0.85 states/eV per atom
Excess energy over the best structure of this formula in the dataset = 705 meV/atom
SG = P4/mmm (123)
ΔE_f = 89.8 kJ per mole of atoms
VASP energy = -5.193 eV per atom


Record 17
SrTa2Ru after structural relaxation, computed with GGA-PBE.

```
SrTa2Ru
1.0
5.167 0.000 0.000
0.000 5.167 0.000
2.584 2.584 8.726
Ru Sr Ta
2 2 4
direct
0.000 0.000 0.000
0.750 0.250 0.500
0.500 0.500 0.000
0.250 0.750 0.500
0.875 0.125 0.250
0.875 0.625 0.250
0.375 0.125 0.750
0.875 0.125 0.750
```

Properties
Density of states at the Fermi level = 1.57 states/eV per atom
Excess energy over the best structure of this formula in the dataset = 832 meV/atom
SG = I4_1/amd (141)
ΔE_f = 106.4 kJ per mole of atoms
VASP energy = -7.563 eV per atom


Record 18
SrTa2Ru after structural relaxation, computed with GGA-PBE.

```
SrTa2Ru
1.0
-4.868 1.075 -3.477
-3.182 -4.610 -2.358
2.077 3.097 4.800
Ru Sr Ta
1 1 2
direct
0.750 0.250 0.500
0.250 0.750 0.500
0.955 0.955 0.000
0.545 0.545 0.000
```

Properties
Density of states at the Fermi level = 1.07 states/eV per atom
Excess energy over the best structure of this formula in the dataset = 203 meV/atom
SG = Immm (71)
ΔE_f = 45.8 kJ per mole of atoms
VASP energy = -8.191 eV per atom


Record 19
Sr2TaRu after structural relaxation, computed with GGA-PBE.

```
Sr2TaRu
1.0
-3.220 -1.047 -0.944
1.056 -0.226 -3.350
3.616 -9.375 -1.939
Ru Sr Ta
1 2 1
direct
0.500 0.834 0.667
0.000 0.070 0.927
0.500 0.183 0.318
0.000 0.413 0.588
```

Properties
Density of states at the Fermi level = 1.18 states/eV per atom
Excess energy over the best structure of this formula in the dataset = 13 meV/atom
SG = Pm (6)
ΔE_f = 23.0 kJ per mole of atoms
VASP energy = -5.885 eV per atom


Record 20
SrTa4Ru after structural relaxation, computed with GGA-PBE.

```
SrTa4Ru
1.0
0.000 3.945 3.945
3.945 0.000 3.945
3.945 3.945 0.000
Sr Ta Ru
1 4 1
direct
0.000 0.000 0.000
0.375 0.876 0.375
0.876 0.375 0.375
0.375 0.375 0.876
0.375 0.375 0.375
0.750 0.750 0.750
```

Properties
Density of states at the Fermi level = 1.01 states/eV per atom
SG = F-43m (216)
ΔE_f = 65.9 kJ per mole of atoms
VASP energy = -9.045 eV per atom


Record 21
SrTa2Ru after structural relaxation, computed with GGA-PBE.

```
SrTa2Ru
1.0
-2.033 -5.032 2.207
3.906 -4.038 1.661
-2.227 5.378 0.666
Ru Sr Ta
1 1 2
direct
0.525 0.525 0.000
0.273 0.773 0.500
0.984 0.984 0.000
0.718 0.218 0.500
```

Properties
Density of states at the Fermi level = 1.01 states/eV per atom
Excess energy over the best structure of this formula in the dataset = 392 meV/atom
SG = Imm2 (44)
ΔE_f = 64.1 kJ per mole of atoms
VASP energy = -8.002 eV per atom


Record 22
Sr2TaRu after structural relaxation, computed with GGA-PBE.

```
Sr2TaRu
1.0
-4.831 -0.948 2.003
-3.951 3.454 -0.841
-4.013 -1.289 -3.237
Ru Sr Ta
1 2 1
direct
0.000 0.000 0.000
0.250 0.250 0.250
0.750 0.750 0.750
0.500 0.500 0.500
```

Properties
Density of states at the Fermi level = 1.09 states/eV per atom
Excess energy over the best structure of this formula in the dataset = 1060 meV/atom
SG = Fm-3m (225)
ΔE_f = 124.0 kJ per mole of atoms
VASP energy = -4.838 eV per atom


Record 23
SrTa2Ru after structural relaxation, computed with GGA-PBE.

```
SrTa2Ru
1.0
-1.471 5.057 -2.484
-4.151 3.442 2.198
4.740 -2.921 1.706
Ru Sr Ta
1 1 2
direct
0.250 0.750 0.500
0.750 0.250 0.500
0.000 0.000 0.000
0.500 0.500 0.000
```

Properties
Density of states at the Fermi level = 0.96 states/eV per atom
Excess energy over the best structure of this formula in the dataset = 638 meV/atom
SG = I4/mmm (139)
ΔE_f = 87.8 kJ per mole of atoms
VASP energy = -7.756 eV per atom


Record 24
Sr2TaRu after structural relaxation, computed with GGA-PBE.

```
Sr2TaRu
1.0
6.437 -0.004 -0.001
2.883 5.755 0.001
-3.915 -4.084 3.072
Ru Sr Ta
1 2 1
direct
0.710 0.210 0.500
0.964 0.964 0.000
0.260 0.760 0.500
0.566 0.566 0.000
```

Properties
Density of states at the Fermi level = 0.92 states/eV per atom
Excess energy over the best structure of this formula in the dataset = 162 meV/atom
SG = Imm2 (44)
ΔE_f = 37.3 kJ per mole of atoms
VASP energy = -5.736 eV per atom


Record 25
SrTa2Ru after structural relaxation, computed with GGA-PBE.

```
SrTa2Ru
1.0
-0.226 -3.671 -1.070
1.965 0.533 -2.244
7.630 -1.292 2.821
Ru Sr Ta
1 1 2
direct
0.500 0.250 0.250
0.500 0.750 0.750
0.000 0.975 0.087
0.000 0.525 0.413
```

Properties
Density of states at the Fermi level = 1.04 states/eV per atom
Excess energy over the best structure of this formula in the dataset = 188 meV/atom
SG = P2/m (10)
ΔE_f = 44.4 kJ per mole of atoms
VASP energy = -8.206 eV per atom


Record 26
SrTa2Ru after structural relaxation, computed with GGA-PBE.

```
SrTa2Ru
1.0
5.463 0.001 0.002
-2.432 5.239 0.008
0.600 0.767 2.739
Ru Sr Ta
1 1 2
direct
0.000 0.500 0.500
0.500 0.500 0.000
0.000 0.000 0.000
0.500 0.000 0.500
```

Properties
Density of states at the Fermi level = 1.31 states/eV per atom
Excess energy over the best structure of this formula in the dataset = 547 meV/atom
SG = C2/m (12)
ΔE_f = 78.9 kJ per mole of atoms
VASP energy = -7.848 eV per atom


Record 27
Sr2TaRu after structural relaxation, computed with GGA-PBE.

```
Sr2TaRu
1.0
-4.073 3.103 -0.059
-3.132 0.037 -4.051
-4.715 -1.957 0.392
Ru Sr Ta
1 2 1
direct
0.500 0.500 0.500
0.000 0.000 0.000
0.250 0.250 0.250
0.750 0.750 0.750
```

Properties
Density of states at the Fermi level = 1.48 states/eV per atom
Excess energy over the best structure of this formula in the dataset = 712 meV/atom
SG = F-43m (216)
ΔE_f = 90.4 kJ per mole of atoms
VASP energy = -5.186 eV per atom


Record 28
SrTa2Ru after structural relaxation, computed with GGA-PBE.

```
SrTa2Ru
1.0
5.738 0.004 0.000
-3.063 4.852 0.000
0.000 0.000 2.856
Ru Sr Ta
1 1 2
direct
0.500 0.000 0.500
0.000 0.500 0.500
0.000 0.000 0.000
0.500 0.500 0.000
```

Properties
Density of states at the Fermi level = 1.30 states/eV per atom
Excess energy over the best structure of this formula in the dataset = 656 meV/atom
SG = Cmmm (65)
ΔE_f = 89.5 kJ per mole of atoms
VASP energy = -7.738 eV per atom


Record 29
SrTa2Ru after structural relaxation, computed with GGA-PBE.

```
SrTa2Ru
1.0
-1.414 -2.469 -0.998
-0.623 -0.791 2.842
-8.076 4.801 -0.434
Ru Sr Ta
1 1 2
direct
0.500 0.500 0.250
0.500 0.500 0.750
0.000 0.000 0.067
0.000 0.000 0.433
```

Properties
Density of states at the Fermi level = 1.27 states/eV per atom
Excess energy over the best structure of this formula in the dataset = 183 meV/atom
SG = P4/mmm (123)
ΔE_f = 43.9 kJ per mole of atoms
VASP energy = -8.211 eV per atom